Crystalline Co3Pt at its relaxed geometry. Source: Alexandria, functional PBE.

The size of the total moment comes out at 10.92 μB per cell. For the formation energy, the calculation gives -0.0206 eV/atom. As for the mass density: 12505 kg/m3. The calculated total energy is -27.441 eV per formula unit. The crystal system is orthorhombic.

It has space group Cmmm (No. 65), with a = 5.194 Å, b = 7.243 Å, c = 2.626 Å, α = 90.00°, β = 90.00° and γ = 90.00°. The asymmetric unit holds Co at (0.000, 0.000, 0.000), Co at (0.250, 0.250, 0.500) and Pt at (0.000, 0.500, 0.000).



Crystalline Co2Pt3 at its relaxed geometry. Source: Alexandria, functional PBE.

The size of the total moment comes out at 45.26 μB per cell. For the formation energy, the calculation gives 0.0780 eV/atom. As for the mass density: 16191 kg/m3. The calculated total energy is -31.944 eV per formula unit. The crystal system is trigonal.

It has space group R-3 (No. 148, hexagonal axes), with a = 7.4422 Å, b = 7.4422 Å, c = 13.5306 Å, α = 90.00°, β = 90.00° and γ = 120.00°. The asymmetric unit holds Co at (0.0405, 0.6123, 0.0665), Pt at (0.0000, 0.0000, 0.2666), Pt at (0.0000, 0.0000, 0.5000) and Pt at (0.0263, 0.7931, 0.9098).



Crystalline Co3Pt at its relaxed geometry. Source: Alexandria, functional PBE.

The size of the total moment comes out at 5.58 μB per cell. For the formation energy, the calculation gives -0.0493 eV/atom. As for the mass density: 12569 kg/m3. The calculated total energy is -27.556 eV per formula unit. The crystal system is orthorhombic.

It has space group Pmmm (No. 47), with a = 2.625 Å, b = 3.577 Å, c = 5.233 Å, α = 90.00°, β = 90.00° and γ = 90.00°. The asymmetric unit holds Co at (0.000, 0.000, 0.000), Co at (0.500, 0.500, 0.226) and Pt at (0.000, 0.000, 0.500).



Crystalline CoPt3 at its relaxed geometry. Source: Alexandria, functional PBE.

The size of the total moment comes out at 12.86 μB per cell. For the formation energy, the calculation gives -0.0474 eV/atom. As for the mass density: 18128 kg/m3. The calculated total energy is -25.418 eV per formula unit. The crystal system is orthorhombic.

It has space group Pnma (No. 62), with a = 4.770 Å, b = 8.959 Å, c = 5.524 Å, α = 90.00°, β = 90.00° and γ = 90.00°. The asymmetric unit holds Co at (0.083, 0.250, 0.126), Pt at (0.085, 0.250, 0.613) and Pt at (0.243, 0.503, 0.871).



Crystalline Co3Pt at its relaxed geometry. Source: Alexandria, functional PBE.

The size of the total moment comes out at 11.16 μB per cell. For the formation energy, the calculation gives -0.0443 eV/atom. As for the mass density: 12536 kg/m3. The calculated total energy is -27.536 eV per formula unit. The crystal system is orthorhombic.

It has space group Imm2 (No. 44), with a = 2.642 Å, b = 8.336 Å, c = 4.474 Å, α = 90.00°, β = 90.00° and γ = 90.00°. The asymmetric unit holds Co at (0.000, 0.000, 0.000), Co at (0.000, 0.255, 0.660) and Pt at (0.000, 0.500, 0.004).



Crystalline Co3Pt at its relaxed geometry. Source: Alexandria, functional PBE.

The size of the total moment comes out at 17.78 μB per cell. For the formation energy, the calculation gives 0.1343 eV/atom. As for the mass density: 12163 kg/m3. The calculated total energy is -26.821 eV per formula unit. The crystal system is trigonal.

It has space group R-3m (No. 166, hexagonal axes), with a = 8.2591 Å, b = 8.2591 Å, c = 2.5785 Å, α = 90.00°, β = 90.00° and γ = 120.00°. The asymmetric unit holds Co at (0.0000, 0.5000, 0.0000) and Pt at (0.0000, 0.0000, 0.0000).



Crystalline CoPt3 at its relaxed geometry. Source: Alexandria, functional PBE.

The size of the total moment comes out at 5.62 μB per cell. For the formation energy, the calculation gives 0.2400 eV/atom. As for the mass density: 17459 kg/m3. The calculated total energy is -24.268 eV per formula unit. The crystal system is cubic.

It has space group Pm-3n (No. 223), with a = 4.967 Å, b = 4.967 Å, c = 4.967 Å, α = 90.00°, β = 90.00° and γ = 90.00°. The asymmetric unit holds Co at (0.000, 0.000, 0.000) and Pt at (0.000, 0.250, 0.500).



Crystalline CoPt at its relaxed geometry. Source: Alexandria, functional PBE.

The size of the total moment comes out at 2.33 μB per cell. For the formation energy, the calculation gives -0.0429 eV/atom. As for the mass density: 15402 kg/m3. The calculated total energy is -13.232 eV per formula unit. The crystal system is hexagonal.

It has space group P-6m2 (No. 187), with a = 2.7306 Å, b = 2.7306 Å, c = 4.2413 Å, α = 90.00°, β = 90.00° and γ = 120.00°. The asymmetric unit holds Co at (0.0000, 0.0000, 0.0000) and Pt at (0.3333, 0.6667, 0.5000).



Crystalline Co3Pt7 at its relaxed geometry. Source: Alexandria, functional PBE.

The size of the total moment comes out at 33.68 μB per cell. For the formation energy, the calculation gives 0.1500 eV/atom. As for the mass density: 16759 kg/m3. The calculated total energy is -62.104 eV per formula unit. The crystal system is orthorhombic.

It has space group Cmc2_1 (No. 36), with a = 7.960 Å, b = 14.286 Å, c = 5.376 Å, α = 90.00°, β = 90.00° and γ = 90.00°. The asymmetric unit holds Co at (0.000, 0.210, 0.000), Co at (0.194, 0.395, 0.970), Pt at (0.000, 0.105, 0.589), Pt at (0.000, 0.340, 0.316), Pt at (0.000, 0.478, 0.652), Pt at (0.173, 0.060, 0.040) and Pt at (0.202, 0.260, 0.649).



Crystalline CoPt2 at its relaxed geometry. Source: Alexandria, functional PBE.

The size of the total moment comes out at 10.32 μB per cell. For the formation energy, the calculation gives -0.0921 eV/atom. As for the mass density: 17371 kg/m3. The calculated total energy is -19.464 eV per formula unit. The crystal system is orthorhombic.

It has space group Cmcm (No. 63), with a = 3.810 Å, b = 11.607 Å, c = 3.883 Å, α = 90.00°, β = 90.00° and γ = 90.00°. The asymmetric unit holds Co at (0.000, 0.080, 0.250), Pt at (0.000, 0.254, 0.750) and Pt at (0.000, 0.422, 0.250).



Crystalline Co5Pt2 at its relaxed geometry. Source: Alexandria, functional PBE.

The size of the total moment comes out at 18.94 μB per cell. For the formation energy, the calculation gives -0.0636 eV/atom. As for the mass density: 13042 kg/m3. The calculated total energy is -48.056 eV per formula unit. The crystal system is monoclinic.

It has space group C2/m (No. 12), with a = 8.240 Å, b = 3.660 Å, c = 5.846 Å, α = 90.00°, β = 98.45° and γ = 90.00°. The asymmetric unit holds Co at (0.000, 0.000, 0.000), Co at (0.148, 0.000, 0.426), Co at (0.213, 0.500, 0.144) and Pt at (0.074, 0.500, 0.722).



Crystalline Co11Pt3 at its relaxed geometry. Source: Alexandria, functional PBE.

The size of the total moment comes out at 40.39 μB per cell. For the formation energy, the calculation gives 0.0683 eV/atom. As for the mass density: 11876 kg/m3. The calculated total energy is -95.331 eV per formula unit. The crystal system is orthorhombic.

It has space group Immm (No. 71), with a = 3.929 Å, b = 8.996 Å, c = 9.760 Å, α = 90.00°, β = 90.00° and γ = 90.00°. The asymmetric unit holds Co at (0.000, 0.000, 0.000), Co at (0.000, 0.129, 0.366), Co at (0.000, 0.224, 0.145), Co at (0.000, 0.348, 0.500), Pt at (0.000, 0.500, 0.000) and Pt at (0.000, 0.500, 0.279).



Crystalline CoPt at its relaxed geometry. Source: Alexandria, functional PBE.

The size of the total moment comes out at 10.21 μB per cell. For the formation energy, the calculation gives 0.8974 eV/atom. As for the mass density: 10460 kg/m3. The calculated total energy is -11.352 eV per formula unit. The crystal system is cubic.

It has space group F-43m (No. 216), with a = 5.444 Å, b = 5.444 Å, c = 5.444 Å, α = 90.00°, β = 90.00° and γ = 90.00°. The asymmetric unit holds Co at (0.000, 0.000, 0.000) and Pt at (0.250, 0.250, 0.250).



Crystalline Co2Pt3 at its relaxed geometry. Source: Alexandria, functional PBE.

The size of the total moment comes out at 41.17 μB per cell. For the formation energy, the calculation gives -0.0036 eV/atom. As for the mass density: 16424 kg/m3. The calculated total energy is -32.352 eV per formula unit. The crystal system is orthorhombic.

It has space group Fdd2 (No. 43), with a = 9.200 Å, b = 13.131 Å, c = 4.708 Å, α = 90.00°, β = 90.00° and γ = 90.00°. The asymmetric unit holds Co at (0.021, 0.295, 0.000), Pt at (0.000, 0.000, 0.467) and Pt at (0.037, 0.396, 0.474).



Crystalline CoPt3 at its relaxed geometry. Source: Alexandria, functional PBE.

The size of the total moment comes out at 3.15 μB per cell. For the formation energy, the calculation gives -0.0489 eV/atom. As for the mass density: 18156 kg/m3. The calculated total energy is -25.424 eV per formula unit. The crystal system is orthorhombic.

It has space group Pmmm (No. 47), with a = 2.742 Å, b = 3.870 Å, c = 5.553 Å, α = 90.00°, β = 90.00° and γ = 90.00°. The asymmetric unit holds Co at (0.000, 0.000, 0.000), Pt at (0.000, 0.000, 0.500) and Pt at (0.500, 0.500, 0.239).



Crystalline Co6Pt at its relaxed geometry. Source: Alexandria, functional PBE.

The size of the total moment comes out at 7.99 μB per cell. For the formation energy, the calculation gives 1.2044 eV/atom. As for the mass density: 8778 kg/m3. The calculated total energy is -40.245 eV per formula unit. The crystal system is cubic.

It has space group Im-3m (No. 229), with a = 5.921 Å, b = 5.921 Å, c = 5.921 Å, α = 90.00°, β = 90.00° and γ = 90.00°. The asymmetric unit holds Co at (0.000, 0.250, 0.500) and Pt at (0.000, 0.000, 0.000).



Crystalline CoPt2 at its relaxed geometry. Source: Alexandria, functional PBE.

The size of the total moment comes out at 5.25 μB per cell. For the formation energy, the calculation gives -0.1231 eV/atom. As for the mass density: 17446 kg/m3. The calculated total energy is -19.557 eV per formula unit. The crystal system is tetragonal.

It has space group I4/mmm (No. 139), with a = 2.726 Å, b = 2.726 Å, c = 11.508 Å, α = 90.00°, β = 90.00° and γ = 90.00°. The asymmetric unit holds Co at (0.000, 0.000, 0.000) and Pt at (0.000, 0.000, 0.343).



Crystalline CoPt2 at its relaxed geometry. Source: Alexandria, functional PBE.

The size of the total moment comes out at 2.64 μB per cell. For the formation energy, the calculation gives -0.0644 eV/atom. As for the mass density: 17251 kg/m3. The calculated total energy is -19.381 eV per formula unit. The crystal system is trigonal.

It has space group P-3m1 (No. 164), with a = 2.7409 Å, b = 2.7409 Å, c = 6.6445 Å, α = 90.00°, β = 90.00° and γ = 120.00°. The asymmetric unit holds Co at (0.0000, 0.0000, 0.0000) and Pt at (0.3333, 0.6667, 0.6844).



Crystalline CoPt2 at its relaxed geometry. Source: Alexandria, functional PBE.

The size of the total moment comes out at 8.71 μB per cell. For the formation energy, the calculation gives -0.0607 eV/atom. As for the mass density: 17323 kg/m3. The calculated total energy is -19.369 eV per formula unit. The crystal system is hexagonal.

It has space group P-62m (No. 189), with a = 7.3638 Å, b = 7.3638 Å, c = 2.7502 Å, α = 90.00°, β = 90.00° and γ = 120.00°. The asymmetric unit holds Co at (0.0000, 0.0000, 0.0000), Co at (0.3333, 0.6667, 0.5000), Pt at (0.0000, 0.2955, 0.5000) and Pt at (0.0000, 0.6308, 0.0000).



Crystalline CoPt at its relaxed geometry. Source: Alexandria, functional PBE.

The size of the total moment comes out at 13.40 μB per cell. For the formation energy, the calculation gives 0.1491 eV/atom. As for the mass density: 14254 kg/m3. The calculated total energy is -12.849 eV per formula unit. The crystal system is hexagonal.

It has space group P6_3/m (No. 176), with a = 8.7725 Å, b = 8.7725 Å, c = 2.6641 Å, α = 90.00°, β = 90.00° and γ = 120.00°. The asymmetric unit holds Co at (0.1552, 0.5352, 0.2500) and Pt at (0.0513, 0.7548, 0.2500).



Crystalline CoPt3 at its relaxed geometry. Source: Alexandria, functional PBE.

The size of the total moment comes out at 6.47 μB per cell. For the formation energy, the calculation gives -0.0306 eV/atom. As for the mass density: 18137 kg/m3. The calculated total energy is -25.351 eV per formula unit. The crystal system is hexagonal.

It has space group P6_3/mmc (No. 194), with a = 5.4959 Å, b = 5.4959 Å, c = 4.5094 Å, α = 90.00°, β = 90.00° and γ = 120.00°. The asymmetric unit holds Co at (0.3333, 0.6667, 0.2500) and Pt at (0.1688, 0.3376, 0.7500).



Crystalline CoPt2 at its relaxed geometry. Source: Alexandria, functional PBE.

The size of the total moment comes out at 10.54 μB per cell. For the formation energy, the calculation gives -0.0286 eV/atom. As for the mass density: 17236 kg/m3. The calculated total energy is -19.273 eV per formula unit. The crystal system is monoclinic.

It has space group Cm (No. 8), with a = 10.142 Å, b = 2.738 Å, c = 6.453 Å, α = 90.00°, β = 105.06° and γ = 90.00°. The asymmetric unit holds Co at (0.000, 0.000, 0.000), Co at (0.160, 0.500, 0.316), Pt at (0.057, 0.000, 0.594), Pt at (0.210, 0.500, 0.943), Pt at (0.334, 0.000, 0.664) and Pt at (0.388, 0.000, 0.262).



Crystalline CoPt at its relaxed geometry. Source: Alexandria, functional PBE.

The size of the total moment comes out at 18.92 μB per cell. For the formation energy, the calculation gives 1.0932 eV/atom. As for the mass density: 8088 kg/m3. The calculated total energy is -10.960 eV per formula unit. The crystal system is cubic.

It has space group I-43m (No. 217), with a = 7.472 Å, b = 7.472 Å, c = 7.472 Å, α = 90.00°, β = 90.00° and γ = 90.00°. The asymmetric unit holds Co at (0.158, 0.158, 0.158) and Pt at (0.160, 0.160, 0.840).



Crystalline CoPt at its relaxed geometry. Source: Alexandria, functional PBE.

The size of the total moment comes out at 18.36 μB per cell. For the formation energy, the calculation gives 0.1395 eV/atom. As for the mass density: 15062 kg/m3. The calculated total energy is -12.868 eV per formula unit. The crystal system is cubic.

It has space group Fd-3m (No. 227, origin choice 2), with a = 6.074 Å, b = 6.074 Å, c = 6.074 Å, α = 90.00°, β = 90.00° and γ = 90.00°. The asymmetric unit holds Co at (0.125, 0.125, 0.125) and Pt at (0.125, 0.125, 0.625).



Crystalline Co5Pt at its relaxed geometry. Source: Alexandria, functional PBE.

The size of the total moment comes out at 17.36 μB per cell. For the formation energy, the calculation gives -0.0241 eV/atom. As for the mass density: 11446 kg/m3. The calculated total energy is -41.714 eV per formula unit. The crystal system is orthorhombic.

It has space group Amm2 (No. 38), with a = 4.116 Å, b = 2.600 Å, c = 13.277 Å, α = 90.00°, β = 90.00° and γ = 90.00°. The asymmetric unit holds Co at (0.000, 0.000, 0.000), Co at (0.000, 0.000, 0.319), Co at (0.000, 0.000, 0.659), Co at (0.500, 0.000, 0.209), Co at (0.500, 0.000, 0.553) and Pt at (0.500, 0.000, 0.882).